Entry 1:
The following is a DFT calculation (PBE) of a relaxed structure of CuPd3Au.

Cell lengths 4.566, 4.566, 4.566 Å; angles 90.00, 90.00, 90.00 degrees
Positions (direct):
Cu  0.000  0.000  0.000
Au  0.500  0.500  0.500
Pd  0.000  0.500  0.000
Pd  0.500  0.000  0.000
Pd  0.000  0.000  0.500

## Properties
Polymorph energy (0 for the lowest one) ... 0.776 eV/atom
ΔE_f ... 341 kJ/mol of formula units

Entry 2:
The following is a DFT calculation (PBE) of a relaxed structure of CuPd5Au.

Cell lengths 4.759, 4.759, 5.575 Å; angles 90.00, 90.00, 110.87 degrees
Positions (direct):
Pd  0.000  0.500  0.251
Pd  0.000  0.000  0.500
Pd  0.500  0.000  0.251
Pd  0.500  0.000  0.749
Pd  0.000  0.500  0.749
Au  0.000  0.000  0.000
Cu  0.500  0.500  0.500

## Properties
Polymorph energy (0 for the lowest one) ... 0.015 eV/atom
ΔE_f ... 66 kJ/mol of formula units

Entry 3:
The following is a DFT calculation (PBE) of a relaxed structure of Cu7Pd3Au.

Cell lengths 4.662, 6.417, 6.417 Å; angles 90.39, 110.67, 110.67 degrees
Positions (direct):
Cu  0.671  0.927  0.414
Cu  0.834  0.823  0.823
Cu  0.329  0.586  0.073
Cu  0.671  0.414  0.927
Cu  0.166  0.177  0.177
Cu  0.329  0.073  0.586
Cu  0.000  0.500  0.500
Pd  0.000  0.230  0.770
Pd  0.500  0.000  0.000
Pd  0.000  0.770  0.230
Au  0.500  0.500  0.500

## Properties
Polymorph energy (0 for the lowest one) ... 0.112 eV/atom
ΔE_f ... 185 kJ/mol of formula units

Entry 4:
The following is a DFT calculation (PBE) of a relaxed structure of CuPd4Au2.

Cell lengths 6.755, 6.755, 6.755 Å; angles 70.81, 70.39, 109.61 degrees
Positions (direct):
Pd  0.246  0.889  0.709
Pd  0.401  0.357  0.889
Pd  0.754  0.045  0.357
Pd  0.099  0.205  0.541
Pd  0.254  0.893  0.205
Pd  0.599  0.709  0.045
Pd  0.746  0.541  0.361
Pd  0.901  0.361  0.893
Au  0.134  0.509  0.125
Au  0.366  0.625  0.509
Au  0.634  0.125  0.741
Au  0.866  0.741  0.625
Cu  0.000  0.000  0.000
Cu  0.500  0.250  0.250

## Properties
Polymorph energy (0 for the lowest one) ... 0.134 eV/atom
ΔE_f ... 99 kJ/mol of formula units

Entry 5:
The following is a DFT calculation (PBE) of a relaxed structure of Cu2Pd2Au.

Cell lengths 3.418, 3.418, 7.196 Å; angles 76.26, 76.26, 90.00 degrees
Positions (direct):
Cu  0.250  0.750  0.500
Cu  0.750  0.250  0.500
Au  0.000  0.000  0.000
Pd  0.394  0.394  0.212
Pd  0.606  0.606  0.788

## Properties
Polymorph energy (0 for the lowest one) ... 0.246 eV/atom
ΔE_f ... 69 kJ/mol of formula units

Entry 6:
The following is a DFT calculation (PBE) of a relaxed structure of CuPd4Au2.

Cell lengths 2.772, 6.837, 6.859 Å; angles 116.74, 101.66, 90.00 degrees
Positions (direct):
Pd  0.926  0.290  0.851
Pd  0.074  0.710  0.149
Pd  0.373  0.609  0.746
Pd  0.627  0.391  0.254
Au  0.779  0.841  0.558
Au  0.221  0.159  0.442
Cu  0.000  0.000  0.000

## Properties
Polymorph energy (0 for the lowest one) ... 0.000 eV/atom
ΔE_f ... 8 kJ/mol of formula units

Entry 7:
The following is a DFT calculation (PBE) of a relaxed structure of Cu7Pd12Au.

Cell lengths 6.792, 6.792, 6.792 Å; angles 84.41, 84.41, 84.41 degrees
Positions (direct):
Pd  0.437  0.380  0.873
Pd  0.332  0.781  0.833
Pd  0.781  0.833  0.332
Pd  0.380  0.873  0.437
Pd  0.127  0.563  0.620
Pd  0.563  0.620  0.127
Pd  0.219  0.167  0.668
Pd  0.620  0.127  0.563
Pd  0.833  0.332  0.781
Pd  0.668  0.219  0.167
Pd  0.167  0.668  0.219
Pd  0.873  0.437  0.380
Cu  0.051  0.096  0.351
Cu  0.500  0.500  0.500
Cu  0.096  0.351  0.051
Cu  0.649  0.949  0.904
Cu  0.351  0.051  0.096
Cu  0.904  0.649  0.949
Cu  0.949  0.904  0.649
Au  0.000  0.000  0.000

## Properties
ΔE_f ... 211 kJ/mol of formula units

Entry 8:
The following is a DFT calculation (PBE) of a relaxed structure of Cu6PdAu12.

Cell lengths 7.231, 7.231, 7.231 Å; angles 104.80, 104.80, 104.80 degrees
Positions (direct):
Pd  0.000  0.000  0.000
Au  0.037  0.166  0.693
Au  0.693  0.037  0.166
Au  0.814  0.472  0.366
Au  0.307  0.963  0.834
Au  0.366  0.814  0.472
Au  0.166  0.693  0.037
Au  0.834  0.307  0.963
Au  0.472  0.366  0.814
Au  0.186  0.528  0.634
Au  0.963  0.834  0.307
Au  0.528  0.634  0.186
Au  0.634  0.186  0.528
Cu  0.821  0.578  0.754
Cu  0.179  0.422  0.246
Cu  0.578  0.754  0.821
Cu  0.754  0.821  0.578
Cu  0.246  0.179  0.422
Cu  0.422  0.246  0.179

## Properties
Polymorph energy (0 for the lowest one) ... 0.133 eV/atom
ΔE_f ... 190 kJ/mol of formula units